This record from OQMD describes an optimized crystal structure of ScTaSn. The functional is PBE.

Unit cell a=4.658 b=4.658 c=4.658 alpha=60.00 beta=60.00 gamma=60.00
Element x y z (fractional)
Sc1 0.000 0.000 0.000
Ta1 0.500 0.500 0.500
Sn1 0.250 0.250 0.250

As for the total energy: -21.23 eV for the cell shown.